! Rb2InAgRu, optimized geometry, DFT PBE; values from VASP
! Electronic total energy in eV/f.u.: -11.8
! Size of the total moment in μB/cell: 1.9
&SYSTEM
  ibrav = 0, nat = 5, ntyp = 4
/
ATOMIC_SPECIES
Ru 101.07 Ru.upf
In 114.82 In.upf
Rb 85.47 Rb.upf
Ag 107.87 Ag.upf
ATOMIC_POSITIONS crystal
Ru 0.000 0.000 0.000
In 0.500 0.500 0.500
Rb 0.500 0.000 0.000
Rb 0.000 0.000 0.500
Ag 0.000 0.500 0.000
CELL_PARAMETERS angstrom
-4.248 -1.565 4.329
1.226 -4.999 -0.604
4.358 0.529 4.468

***

! RbInAgS2, optimized geometry, DFT PBE; values from VASP
! Size of the total moment in μB/cell: 0.0
! Raw formation energy in eV/atom: -0.4752
&SYSTEM
  ibrav = 0, nat = 10, ntyp = 4
/
ATOMIC_SPECIES
Rb 85.47 Rb.upf
S 32.06 S.upf
In 114.82 In.upf
Ag 107.87 Ag.upf
ATOMIC_POSITIONS crystal
Rb 0.766 0.250 0.500
Rb 0.234 0.750 0.500
S 0.276 0.379 0.757
S 0.276 0.121 0.243
S 0.724 0.621 0.243
S 0.724 0.879 0.757
In 0.500 0.250 0.000
In 0.500 0.750 0.000
Ag 0.000 0.500 0.000
Ag 0.000 0.000 0.000
CELL_PARAMETERS angstrom
5.907 0.000 0.000
0.000 6.852 0.000
0.000 -3.426 7.215

***

! RbIn2AgSe4, optimized geometry, DFT PBE; values from VASP
! Size of the total moment in μB/cell: 0.0
! Raw formation energy in eV/atom: -0.5524
&SYSTEM
  ibrav = 0, nat = 8, ntyp = 4
/
ATOMIC_SPECIES
Se 78.96 Se.upf
In 114.82 In.upf
Ag 107.87 Ag.upf
Rb 85.47 Rb.upf
ATOMIC_POSITIONS crystal
Se 0.428 0.141 0.572
Se 0.141 0.859 0.428
Se 0.859 0.572 0.141
Se 0.572 0.428 0.859
In 0.750 0.750 0.750
In 0.250 0.250 0.250
Ag 0.500 0.500 0.500
Rb 0.000 0.000 0.000
CELL_PARAMETERS angstrom
6.096 0.000 0.000
3.048 7.333 2.615
3.048 3.207 7.094

***

! Rb2In4AgSn3, optimized geometry, DFT PBE; values from VASP
! Electronic total energy in eV/f.u.: -29.0
! Size of the total moment in μB/cell: 0.0
&SYSTEM
  ibrav = 0, nat = 10, ntyp = 4
/
ATOMIC_SPECIES
In 114.82 In.upf
Sn 118.71 Sn.upf
Ag 107.87 Ag.upf
Rb 85.47 Rb.upf
ATOMIC_POSITIONS crystal
In 0.500 0.500 0.000
In 0.000 0.500 0.377
In 0.500 0.000 0.623
In 0.000 0.000 0.000
Sn 0.500 0.000 0.866
Sn 0.000 0.000 0.500
Sn 0.000 0.500 0.134
Ag 0.500 0.500 0.500
Rb 0.000 0.500 0.747
Rb 0.500 0.000 0.253
CELL_PARAMETERS angstrom
-1.434 2.328 4.332
-4.293 -2.793 0.079
5.703 -8.582 6.500

***

! Rb2In6AgSn, optimized geometry, DFT PBE; values from VASP
! Electronic total energy in eV/f.u.: -25.2
! Size of the total moment in μB/cell: 0.0
&SYSTEM
  ibrav = 0, nat = 20, ntyp = 4
/
ATOMIC_SPECIES
In 114.82 In.upf
Rb 85.47 Rb.upf
Sn 118.71 Sn.upf
Ag 107.87 Ag.upf
ATOMIC_POSITIONS crystal
In 0.580 0.580 0.669
In 0.171 0.580 0.669
In 0.188 0.803 0.821
In 0.580 0.171 0.669
In 0.812 0.812 0.179
In 0.420 0.420 0.331
In 0.188 0.188 0.821
In 0.803 0.188 0.821
In 0.829 0.420 0.331
In 0.812 0.197 0.179
In 0.197 0.812 0.179
In 0.420 0.829 0.331
Rb 0.849 0.849 0.454
Rb 0.151 0.151 0.546
Rb 0.713 0.713 0.860
Rb 0.287 0.287 0.140
Sn 0.624 0.624 0.129
Sn 0.376 0.376 0.871
Ag 0.500 0.500 0.500
Ag 0.000 0.000 0.000
CELL_PARAMETERS angstrom
-0.566 3.012 7.468
-7.184 2.255 2.909
-4.427 -10.108 8.103

***

! RbIn2Ag2Sn, optimized geometry, DFT PBE; values from VASP
! Electronic total energy in eV/f.u.: -15.6
! Size of the total moment in μB/cell: 0.0
&SYSTEM
  ibrav = 0, nat = 6, ntyp = 4
/
ATOMIC_SPECIES
In 114.82 In.upf
Ag 107.87 Ag.upf
Rb 85.47 Rb.upf
Sn 118.71 Sn.upf
ATOMIC_POSITIONS crystal
In 0.500 0.500 0.244
In 0.500 0.500 0.756
Ag 0.500 0.000 0.000
Ag 0.000 0.500 0.000
Rb 0.000 0.000 0.500
Sn 0.000 0.000 0.000
CELL_PARAMETERS angstrom
5.323 0.000 0.000
0.000 5.323 0.000
0.000 0.000 7.014

***

! RbInAgSn2, optimized geometry, DFT PBE; values from VASP
! Electronic total energy in eV/f.u.: -15.1
! Size of the total moment in μB/cell: 0.0
&SYSTEM
  ibrav = 0, nat = 5, ntyp = 4
/
ATOMIC_SPECIES
In 114.82 In.upf
Sn 118.71 Sn.upf
Ag 107.87 Ag.upf
Rb 85.47 Rb.upf
ATOMIC_POSITIONS crystal
In 0.750 0.250 0.500
Sn 0.381 0.381 0.761
Sn 0.619 0.619 0.239
Ag 0.250 0.750 0.500
Rb 0.000 0.000 0.000
CELL_PARAMETERS angstrom
4.957 0.000 0.000
0.000 4.957 0.000
-2.479 -2.479 6.168

***

! Rb2In3AgSn4, optimized geometry, DFT PBE; values from VASP
! Electronic total energy in eV/f.u.: -30.3
! Size of the total moment in μB/cell: 0.0
&SYSTEM
  ibrav = 0, nat = 10, ntyp = 4
/
ATOMIC_SPECIES
Sn 118.71 Sn.upf
Rb 85.47 Rb.upf
In 114.82 In.upf
Ag 107.87 Ag.upf
ATOMIC_POSITIONS crystal
Sn 0.000 0.000 0.000
Sn 0.000 0.500 0.376
Sn 0.500 0.000 0.624
Sn 0.500 0.500 0.000
Rb 0.500 0.000 0.257
Rb 0.000 0.500 0.743
In 0.000 0.500 0.137
In 0.000 0.000 0.500
In 0.500 0.000 0.863
Ag 0.500 0.500 0.500
CELL_PARAMETERS angstrom
5.088 0.000 0.000
0.000 5.088 0.000
0.000 0.000 12.248

***

Look up the size of the total moment of the fifth one.
0.0 μB/cell